Rb4La3FeO8: relaxed, PBE+U.

theoretical density = 5.01 Mg/m³
magnetic moment = 2.98 μB/cell
VASP energy = -6.1942 eV/atom

The structure in extended XYZ format:
```
16
Lattice="6.654 -3.520 0.000 6.654 3.520 0.000 -3.643 0.000 6.665" Properties=species:S:1:pos:R:3 pbc="T T T"
Rb 0.000 0.000 0.000
Rb 3.327 1.760 0.000
Rb 3.327 -1.760 0.000
Rb 6.654 0.000 0.000
La -1.822 0.000 3.332
La 1.506 1.760 3.332
La 1.506 -1.760 3.332
Fe 4.833 0.000 3.332
O 0.313 0.000 4.532
O 1.895 0.000 1.822
O 3.899 1.433 4.317
O 5.766 1.433 2.348
O 3.899 -1.433 4.317
O 5.766 -1.433 2.348
O 7.770 0.000 4.843
O 9.352 0.000 2.133
```